Record 1
! PBE PdAu3S, relaxed; values from VASP
&SYSTEM
  ibrav = 0, nat = 5, ntyp = 3
/
ATOMIC_SPECIES
Au 196.97 Au.upf
Pd 106.42 Pd.upf
S 32.06 S.upf
CELL_PARAMETERS angstrom
5.011 0.000 0.000
0.000 5.011 0.000
0.000 0.000 5.011
ATOMIC_POSITIONS angstrom
Au 2.505 0.000 0.000
Pd 0.000 0.000 0.000
S 2.505 2.505 2.505
Au 0.000 2.505 0.000
Au 0.000 0.000 2.505
! Total energy in eV per atom: -2.710
! Magnetization in μB per cell: 0.00
! Space group: Pm-3m, No. 221
! Raw formation energy in eV/atom: 1.121
! Energy above the most stable polymorph in this dataset in eV per atom: 0.563


Record 2
! PBE YGa2HPb, relaxed; values from VASP
&SYSTEM
  ibrav = 0, nat = 5, ntyp = 4
/
ATOMIC_SPECIES
H 1.01 H.upf
Y 88.91 Y.upf
Ga 69.72 Ga.upf
Pb 207.20 Pb.upf
CELL_PARAMETERS angstrom
4.674 0.000 0.000
0.000 4.400 0.000
0.000 0.000 4.674
ATOMIC_POSITIONS angstrom
H 0.000 0.000 0.000
Y 0.000 2.200 0.000
Ga 0.000 0.000 2.337
Pb 2.337 2.200 2.337
Ga 2.337 0.000 0.000
! Total energy in eV per atom: -4.098
! Magnetization in μB per cell: 0.00
! Space group: P4/mmm, No. 123


Record 3
! PBE HfScAlTc, relaxed; values from VASP
&SYSTEM
  ibrav = 0, nat = 4, ntyp = 4
/
ATOMIC_SPECIES
Sc 44.96 Sc.upf
Al 26.98 Al.upf
Hf 178.49 Hf.upf
Tc 98.00 Tc.upf
CELL_PARAMETERS angstrom
-1.573 2.810 -3.389
-2.514 -1.767 -3.523
-4.567 0.949 -0.319
ATOMIC_POSITIONS angstrom
Sc 0.000 0.000 0.000
Al -6.490 1.494 -5.424
Hf -4.327 0.996 -3.616
Tc -2.163 0.498 -1.808
! Total energy in eV per atom: -8.002
! Magnetization in μB per cell: 0.00
! Space group: F-43m, No. 216
! Energy above the most stable polymorph in this dataset in eV per atom: 0.069
! ΔE_f in eV/atom: -0.404


Q: What is the total energy in the second record?
A: -4.098 eV per atom